Zn4Ni5: optimized geometry, PBE.

Cell: 3.6960 5.7401 5.7401 Å, 95.95 108.78 71.22°
Positions (direct):
Ni 0.3351 0.0000 0.6702
Zn 0.0000 0.6836 0.6836
Zn 0.0000 0.3164 0.3164
Ni 0.0000 0.0000 0.0000
Zn 0.6836 0.3164 0.6836
Zn 0.3164 0.6836 0.3164
Ni 0.6649 0.0000 0.3298
Ni 0.3351 0.3298 0.0000
Ni 0.6649 0.6702 0.0000

Output
Energy relative to the lowest polymorph listed for this composition: 0.000 eV per atom
Energy of formation from the pure elements: -162 meV per atom
Density: 8.444 g cm⁻³
Space group: I4/mmm
Density of states at the Fermi level: 7.03 states/eV per cell
E_tot: -35.5 eV/f.u.